A plane-wave DFT calculation with PBE-GGA was carried out for AcTb5Y3 after structural relaxation.

Unit cell a=10.6856 b=10.6856 c=10.6856 alpha=139.90 beta=67.69 gamma=127.94
Last column: nearest neighbours and their distance in Å.
Fractional coordinates of all 18 atoms:
Ac (0.3103, 0.0603, 0.2500)  7 Tb 3.43-3.67, 2 Y 3.44
Ac (0.6897, 0.9397, 0.7500)  7 Tb 3.43-3.67, 2 Y 3.44
Tb (0.1561, 0.3262, 0.3369)  4 Tb 3.26-3.61, 1 Ac 3.49, 3 Y 3.54-3.65
Tb (0.1561, 0.8192, 0.8299)  4 Tb 3.26-3.61, 1 Ac 3.49, 3 Y 3.54-3.65
Tb (0.3239, 0.5739, 0.7500)  3 Ac 3.43-3.67, 4 Tb 3.47, 2 Y 3.55
Tb (0.4893, 0.3262, 0.6701)  4 Tb 3.26-3.61, 1 Ac 3.49, 3 Y 3.54-3.65
Tb (0.4893, 0.8192, 0.1631)  4 Tb 3.26-3.61, 1 Ac 3.49, 3 Y 3.54-3.65
Tb (0.5107, 0.1808, 0.8369)  4 Tb 3.26-3.61, 1 Ac 3.49, 3 Y 3.54-3.65
Tb (0.5107, 0.6738, 0.3299)  4 Tb 3.26-3.61, 1 Ac 3.49, 3 Y 3.54-3.65
Tb (0.6761, 0.4261, 0.2500)  3 Ac 3.43-3.67, 4 Tb 3.47, 2 Y 3.55
Tb (0.8439, 0.1808, 0.1701)  4 Tb 3.26-3.61, 1 Ac 3.49, 3 Y 3.54-3.65
Tb (0.8439, 0.6738, 0.6631)  4 Tb 3.26-3.61, 1 Ac 3.49, 3 Y 3.54-3.65
Y (0.0000, 0.0000, 0.5000)  2 Ac 3.44, 2 Tb 3.55, 6 Y 3.66-3.71
Y (0.0000, 0.5000, 0.0000)  2 Ac 3.44, 2 Tb 3.55, 6 Y 3.66-3.71
Y (0.1810, 0.2494, 0.9316)  8 Tb 3.54-3.67, 4 Y 3.66-3.71
Y (0.1822, 0.7506, 0.4316)  8 Tb 3.54-3.67, 4 Y 3.66-3.71
Y (0.8178, 0.2494, 0.5684)  8 Tb 3.54-3.67, 4 Y 3.66-3.71
Y (0.8190, 0.7506, 0.0684)  8 Tb 3.54-3.67, 4 Y 3.66-3.71

The value obtained for the distance to the lowest polymorph of the same formula is 0.000 eV/atom. As for the formation energy: 0.1471 eV/atom. The density is 7.0 g/cm3. As for the calculated total energy: -90.656 eV for the cell shown.

A plane-wave DFT calculation with PBE-GGA was carried out for NaThBi3 after structural relaxation.

Unit cell a=10.4709 b=6.2046 c=11.0021 alpha=90.00 beta=90.00 gamma=90.00
Last column: nearest neighbours and their distance in Å.
Fractional coordinates of all 20 atoms:
Na (0.1175, 0.2500, 0.0000)  7 Bi 3.52-3.67
Na (0.1175, 0.2500, 0.5000)  7 Bi 3.52-3.67
Na (0.8825, 0.7500, 0.0000)  7 Bi 3.52-3.67
Na (0.8825, 0.7500, 0.5000)  7 Bi 3.52-3.67
Th (0.3798, 0.0095, 0.2500)  8 Bi 3.23-3.59
Th (0.3798, 0.4905, 0.7500)  8 Bi 3.23-3.59
Th (0.6202, 0.5095, 0.2500)  8 Bi 3.23-3.59
Th (0.6202, 0.9905, 0.7500)  8 Bi 3.23-3.59
Bi (0.0748, 0.6066, 0.7500)  1 Th 3.27, 3 Bi 3.28-3.48, 4 Na 3.52-3.56
Bi (0.0748, 0.8934, 0.2500)  1 Th 3.27, 3 Bi 3.28-3.48, 4 Na 3.52-3.56
Bi (0.2910, 0.5113, 0.2500)  3 Th 3.23-3.45, 1 Bi 3.28
Bi (0.2910, 0.9887, 0.7500)  3 Th 3.23-3.45, 1 Bi 3.28
Bi (0.4621, 0.2500, 0.0000)  2 Bi 3.20, 2 Th 3.25
Bi (0.4621, 0.2500, 0.5000)  2 Bi 3.20, 2 Th 3.25
Bi (0.5379, 0.7500, 0.0000)  2 Bi 3.20, 2 Th 3.25
Bi (0.5379, 0.7500, 0.5000)  2 Bi 3.20, 2 Th 3.25
Bi (0.7090, 0.0113, 0.2500)  3 Th 3.23-3.45, 1 Bi 3.28
Bi (0.7090, 0.4887, 0.7500)  3 Th 3.23-3.45, 1 Bi 3.28
Bi (0.9252, 0.1066, 0.7500)  1 Th 3.27, 3 Bi 3.28-3.48, 4 Na 3.52-3.56
Bi (0.9252, 0.3934, 0.2500)  1 Th 3.27, 3 Bi 3.28-3.48, 4 Na 3.52-3.56

As for the formation energy: -0.2326 eV/atom. The density is 8.2 g/cm3. As for the calculated total energy: -86.179 eV for the cell shown.

The following magnetic moment values (in μB per atom) correspond, in order, to the records above: 0.000 0.000.